Record 1
A plane-wave DFT calculation with PBE was carried out for a geometry-optimized Hg2RhW structure.

Unit cell a=2.8969 b=2.8969 c=8.4200 alpha=90.00 beta=90.00 gamma=90.00
With the nearest neighbours (Å) after each atom.
Space group P4/mmm (No. 123)
Symmetry-distinct sites (fractional):
1 Hg 0.0000 0.0000 0.2390 [2 per cell]  4 Rh 2.87, 4 Hg 2.90, 4 W 3.00
2 Rh 0.5000 0.5000 0.0000 [1 per cell]  8 Hg 2.87, 4 Rh 2.90
3 W 0.5000 0.5000 0.5000 [1 per cell]  4 W 2.90, 8 Hg 3.00

Summary:
The value obtained for the total magnetic moment is 0.0 μB per formula unit. Its energy is -4.610 eV per atom. The value obtained for the density is 16.17 Mg/m³.


Record 2
A plane-wave DFT calculation with PBE was carried out for a geometry-optimized PrNd10Dy4 structure.

Unit cell a=12.7968 b=12.7968 c=6.8894 alpha=90.00 beta=90.00 gamma=90.00
With the nearest neighbours (Å) after each atom.
Space group I4/m (No. 87)
Symmetry-distinct sites (fractional):
1 Pr 0.0000 0.0000 0.0000 [2 per cell]  8 Dy 4.21, 8 Nd 4.38
2 Nd 0.0000 0.5000 0.2500 [4 per cell]  6 Nd 3.16-3.44
3 Nd 0.1278 0.2888 0.2452 [16 per cell]  4 Nd 3.16-3.51, 2 Dy 3.37-3.39
4 Dy 0.0671 0.8236 0.5000 [8 per cell]  6 Nd 3.37-3.54, 2 Dy 3.42

Summary:
The value obtained for the total magnetic moment is 0.0 μB per formula unit. Its energy is -4.213 eV per atom. The value obtained for the density is 6.57 Mg/m³.


Record 3
A plane-wave DFT calculation with PBE was carried out for a geometry-optimized RbLa2Ru2 structure.

Unit cell a=8.7537 b=8.7537 c=3.4125 alpha=90.00 beta=90.00 gamma=90.00
With the nearest neighbours (Å) after each atom.
Space group P4/mbm (No. 127)
Symmetry-distinct sites (fractional):
1 Rb 0.0000 0.0000 0.0000 [2 per cell]  4 La 3.38, 2 Rb 3.41
2 La 0.1400 0.3600 0.0000 [4 per cell]  4 Ru 2.91
3 Ru 0.1291 0.6291 0.5000 [4 per cell]  4 La 2.91, 1 Ru 3.20

Summary:
The value obtained for the total magnetic moment is 0.3 μB per formula unit. Its energy is -5.587 eV per atom. The value obtained for the density is 7.18 Mg/m³.


Record 4
A plane-wave DFT calculation with PBE was carried out for a geometry-optimized DyTm3As4 structure.

Unit cell a=8.1535 b=11.5293 c=4.0785 alpha=90.00 beta=90.00 gamma=90.00
With the nearest neighbours (Å) after each atom.
Space group Cmmm (No. 65)
Symmetry-distinct sites (fractional):
1 Dy 0.0000 0.0000 0.0000 [2 per cell]  6 As 2.90
2 Tm 0.0000 0.5000 0.0000 [2 per cell]  6 As 2.87
3 Tm 0.2500 0.2500 0.5000 [4 per cell]  6 As 2.88
4 As 0.0000 0.2512 0.0000 [4 per cell]  5 Tm 2.87-2.88, 1 Dy 2.90
5 As 0.2476 0.5000 0.5000 [4 per cell]  4 Tm 2.87-2.88, 2 Dy 2.90

Summary:
The value obtained for the total magnetic moment is 0.0 μB per formula unit. Its energy is -6.090 eV per atom. The value obtained for the density is 8.39 Mg/m³.


Record 5
A plane-wave DFT calculation with PBE was carried out for a geometry-optimized SbAsC structure.

Unit cell a=4.1104 b=6.0919 c=6.7183 alpha=74.64 beta=87.98 gamma=70.46
With the nearest neighbours (Å) after each atom.
Space group P1 (No. 1)
Symmetry-distinct sites (fractional):
1 Sb 0.0000 0.0000 0.0000 [1 per cell]  2 C 2.26
2 Sb 0.1213 0.8151 0.6413 [1 per cell]  1 As 2.62, 1 Sb 2.88
3 As 0.2637 0.4416 0.2380 [1 per cell]  2 C 1.99
4 As 0.3210 0.3732 0.8835 [1 per cell]  1 As 2.51, 1 Sb 2.62
5 C 0.4821 0.6965 0.1579 [1 per cell]  1 C 1.32
6 C 0.8025 0.6962 0.1576 [1 per cell]  1 C 1.32

Summary:
The value obtained for the total magnetic moment is 0.0 μB per formula unit. Its energy is -5.364 eV per atom. The energy relative to the elements, uncorrected comes out at 0.634 eV/atom. The value obtained for the density is 4.54 Mg/m³.


Record 6
A plane-wave DFT calculation with PBE was carried out for a geometry-optimized MgAlNi structure.

Unit cell a=4.2432 b=4.2432 c=2.9200 alpha=90.00 beta=90.00 gamma=120.00
With the nearest neighbours (Å) after each atom.
Space group P-6m2 (No. 187)
Symmetry-distinct sites (fractional):
1 Mg 0.0000 0.0000 0.0000 [1 per cell]  6 Al 2.85, 6 Ni 2.85, 2 Mg 2.92
2 Al 0.6667 0.3333 0.5000 [1 per cell]  3 Ni 2.45
3 Ni 0.3333 0.6667 0.5000 [1 per cell]  3 Al 2.45

Summary:
The value obtained for the total magnetic moment is 0.0 μB per formula unit. Its energy is -3.939 eV per atom. The value obtained for the density is 4.01 Mg/m³.


Record 7
A plane-wave DFT calculation with PBE was carried out for a geometry-optimized TaCo2Ge structure.

Unit cell a=2.8274 b=2.8274 c=6.5344 alpha=90.00 beta=90.00 gamma=90.00
With the nearest neighbours (Å) after each atom.
Space group P4/mmm (No. 123)
Symmetry-distinct sites (fractional):
1 Ta 0.0000 0.0000 0.0000 [1 per cell]  8 Co 2.73, 4 Ta 2.83
2 Co 0.5000 0.5000 0.2843 [2 per cell]  4 Ge 2.45, 4 Ta 2.73
3 Ge 0.0000 0.0000 0.5000 [1 per cell]  8 Co 2.45

Summary:
The value obtained for the total magnetic moment is 0.9 μB per formula unit. Its energy is -7.841 eV per atom. The value obtained for the density is 11.81 Mg/m³.